Compound: WSe2F
Source: Alexandria
Functional: GGA+U
Structure: optimized geometry

Results
Size of the total moment = 2.079 Bohr magnetons per cell
VASP energy = -0.1618 hartree per atom

a b c (Å): 4.524 4.524 4.524
angles (deg): 60.00 60.00 60.00
Site moments in Bohr magnetons follow the coordinates.
Sites, in units of the cell vectors:
W  0.500  0.500  0.500  2.08
F  0.000  0.000  0.000  0.04
Se  0.750  0.750  0.750  -0.10
Se  0.250  0.250  0.250  -0.10